Cr (PBE, optimized geometry); space group = I4/mmm (139); offset from the most stable computed form = 258 meV per atom; total magnetic moment = 0.000 μB per atom
1.0
-1.908 1.911 0.056
-1.738 -0.781 -1.915
0.971 -1.448 2.063
Cr
1
Direct
0.000 0.000 0.000

La3SmCl (PBE, optimized geometry); formation energy without anion corrections = -0.55 eV per atom; space group = Pm-3m (221); total magnetic moment = 0.000 μB per atom
1.0
-5.174 0.827 -1.937
-2.097 -1.557 4.938
0.191 5.301 1.752
Sm Cl La
1 1 3
Direct
0.500 0.500 0.500
0.000 0.000 0.000
0.500 0.000 0.000
0.000 0.500 0.000
0.000 0.000 0.500

LaHo2Pt (PBE, optimized geometry); space group = Pnma (62); offset from the most stable computed form = 0 meV per atom; total magnetic moment = 0.000 μB per atom
1.0
-5.625 -3.443 -0.180
3.709 -5.985 -1.451
0.800 -1.804 9.484
Pt Ho La
4 8 4
Direct
0.426 0.883 0.250
0.574 0.117 0.750
0.074 0.383 0.250
0.926 0.617 0.750
0.171 0.676 0.436
0.671 0.824 0.564
0.829 0.324 0.936
0.829 0.324 0.564
0.671 0.824 0.936
0.171 0.676 0.064
0.329 0.176 0.436
0.329 0.176 0.064
0.364 0.476 0.750
0.864 0.024 0.250
0.136 0.976 0.750
0.636 0.524 0.250

Mg2Sb2Rh3 (PBE, optimized geometry); formation energy without anion corrections = -0.50 eV per atom; space group = C2/m (12); total magnetic moment = 0.000 μB per atom
1.0
-0.237 -0.907 -4.437
-2.479 -2.404 2.928
-4.292 6.052 1.316
Sb Rh Mg
2 3 2
Direct
0.214 0.607 0.821
0.786 0.393 0.179
0.000 0.000 0.000
0.527 0.264 0.788
0.473 0.736 0.212
0.737 0.869 0.604
0.263 0.131 0.396

Nd2Ho5Sc2 (PBE, optimized geometry); space group = Ima2 (46); offset from the most stable computed form = 216 meV per atom; total magnetic moment = 0.000 μB per atom
1.0
-6.717 8.041 0.899
-2.319 -2.560 5.568
10.147 1.482 1.052
Sc Nd Ho
4 4 10
Direct
0.549 0.035 0.167
0.451 0.868 0.833
0.118 0.535 0.167
0.882 0.368 0.833
0.770 0.938 0.500
0.230 0.438 0.500
0.000 0.988 0.000
0.500 0.488 0.000
0.465 0.498 0.307
0.184 0.631 0.891
0.792 0.240 0.109
0.816 0.740 0.109
0.132 0.949 0.500
0.658 0.691 0.693
0.868 0.449 0.500
0.342 0.998 0.307
0.208 0.131 0.891
0.535 0.191 0.693

NpGa2Pd (PBE, optimized geometry); electronic total energy = -24.9 eV per cell; space group = P4/mmm (123); total magnetic moment = 1.010 μB per atom
1.0
4.559 0.000 0.000
0.000 4.123 0.000
0.000 0.000 4.123
Ga Pd Np
2 1 1
Direct
0.000 0.500 0.000
0.000 0.000 0.500
0.500 0.000 0.000
0.500 0.500 0.500

TaAs2PSe (PBE, optimized geometry); formation energy without anion corrections = 0.66 eV per atom; space group = P4/mmm (123); offset from the most stable computed form = 0 meV per atom; total magnetic moment = 0.308 μB per atom
1.0
-0.055 -2.596 4.349
2.714 -3.688 -2.167
4.134 2.229 1.383
Ta As Se P
1 2 1 1
Direct
0.000 0.000 0.000
0.500 0.000 0.000
0.000 0.500 0.000
0.000 0.000 0.500
0.500 0.500 0.500

RbAu2Br4 (PBE, optimized geometry); formation energy without anion corrections = -0.55 eV per atom; space group = P-1 (2); total magnetic moment = 0.000 μB per atom
1.0
8.109 -1.681 -0.094
-2.262 7.965 0.080
-2.726 -3.310 9.756
Au Br Rb
4 8 2
Direct
0.625 0.375 0.250
0.625 0.375 0.750
0.125 0.375 0.750
0.625 0.875 0.250
0.926 0.173 0.262
0.324 0.577 0.238
0.458 0.589 0.770
0.340 0.086 0.763
0.910 0.664 0.737
0.431 0.062 0.270
0.791 0.161 0.730
0.819 0.688 0.230
0.097 0.097 0.000
0.153 0.653 0.500

Ac2SnRu (PBE, optimized geometry); electronic total energy = -45.7 eV per cell; space group = Immm (71); total magnetic moment = 0.000 μB per atom
1.0
5.246 0.000 0.000
0.000 8.925 -0.003
-2.623 -2.233 5.552
Sn Ac Ru
2 4 2
Direct
0.500 0.750 0.000
0.500 0.250 0.000
0.833 0.417 0.666
0.833 0.917 0.666
0.167 0.083 0.334
0.167 0.583 0.334
0.000 0.750 0.000
0.000 0.250 0.000

AcYZnAg (PBE, optimized geometry); space group = P4mm (99); offset from the most stable computed form = 0 meV per atom; total magnetic moment = 0.001 μB per atom
1.0
3.758 0.000 0.000
0.000 3.758 0.000
0.000 0.000 7.600
Zn Y Ac Ag
1 1 1 1
Direct
0.000 0.000 0.392
0.500 0.500 0.603
0.500 0.500 0.114
0.000 0.000 0.819

CsUPaS6 (PBE, optimized geometry); formation energy without anion corrections = -1.29 eV per atom; space group = Imma (74); total magnetic moment = 0.000 μB per atom
1.0
-5.717 -4.872 -5.811
2.514 -8.202 4.404
-3.496 7.316 5.065
Pa S Cs U
2 12 2 2
Direct
0.000 0.000 0.500
0.500 0.000 0.500
0.431 0.671 0.251
0.832 0.082 0.663
0.431 0.080 0.251
0.168 0.918 0.337
0.569 0.920 0.749
0.180 0.920 0.749
0.435 0.685 0.871
0.820 0.671 0.251
0.565 0.315 0.129
0.569 0.329 0.749
0.820 0.080 0.251
0.180 0.329 0.749
0.886 0.636 0.771
0.114 0.364 0.229
0.500 0.000 0.000
0.500 0.500 0.000

CaAcTbHo (PBE, optimized geometry); electronic total energy = -14.8 eV per cell; space group = F-43m (216); total magnetic moment = 0.000 μB per atom
1.0
-2.350 -1.208 -5.304
3.328 -2.508 -4.213
-0.980 -5.622 -1.595
Ac Ca Ho Tb
1 1 1 1
Direct
0.250 0.250 0.250
0.000 0.000 0.000
0.500 0.500 0.500
0.750 0.750 0.750

Sr2VCoGe (PBE, optimized geometry); electronic total energy = -19.8 eV per cell; space group = P4/mmm (123); total magnetic moment = 0.330 μB per atom
1.0
-2.096 5.297 -1.788
-4.003 -1.175 1.211
0.993 2.232 5.448
Sr Co V Ge
2 1 1 1
Direct
0.500 0.000 0.000
0.000 0.000 0.500
0.000 0.500 0.000
0.500 0.500 0.500
0.000 0.000 0.000

ReSiOs2 (PBE, optimized geometry); formation energy without anion corrections = -0.16 eV per atom; space group = P4/mmm (123); total magnetic moment = 0.000 μB per atom
1.0
-1.223 2.488 0.708
0.451 -0.566 2.769
5.975 3.038 -0.351
Si Re Os
1 1 2
Direct
0.500 0.500 0.750
0.500 0.500 0.250
0.000 0.000 0.528
0.000 0.000 0.972

TbSmHoTm (PBE, optimized geometry); space group = F-43m (216); offset from the most stable computed form = 0 meV per atom; total magnetic moment = 0.000 μB per atom
1.0
-3.310 4.272 -1.684
-2.181 0.001 -5.223
-5.547 -0.843 -0.751
Tm Tb Sm Ho
1 1 1 1
Direct
0.500 0.500 0.500
0.750 0.750 0.750
0.250 0.250 0.250
0.000 0.000 0.000

YThCo10 (PBE, optimized geometry); electronic total energy = -86.4 eV per cell; space group = Pmmm (47); total magnetic moment = 1.096 μB per atom
1.0
-0.660 -0.452 -3.894
0.438 -4.882 0.492
-8.423 -0.606 1.497
Co Y Th
10 1 1
Direct
0.500 0.256 0.744
0.500 0.744 0.744
0.500 0.256 0.256
0.000 0.500 0.166
0.500 0.500 0.000
0.500 0.744 0.256
0.000 0.500 0.834
0.000 0.000 0.326
0.000 0.000 0.674
0.500 0.000 0.500
0.000 0.500 0.500
0.000 0.000 0.000

LiTaSb2Te (PBE, optimized geometry); formation energy without anion corrections = 0.19 eV per atom; space group = P4/mmm (123); offset from the most stable computed form = 0 meV per atom; total magnetic moment = 0.000 μB per atom
1.0
-4.897 1.958 -1.285
-1.947 -1.748 4.756
1.303 4.754 2.280
Te Ta Li Sb
1 1 1 2
Direct
0.000 0.000 0.500
0.000 0.000 0.000
0.500 0.500 0.500
0.000 0.500 0.000
0.500 0.000 0.000

Ca2UP3Rh12 (PBE, optimized geometry); electronic total energy = -125.6 eV per cell; space group = R-3m (166); total magnetic moment = 0.000 μB per atom
1.0
-2.816 2.214 -5.637
-4.695 -4.715 -0.572
-5.032 3.398 2.781
Rh Ca P U
12 2 3 1
Direct
0.179 0.179 0.668
0.639 0.077 0.639
0.361 0.361 0.923
0.361 0.923 0.361
0.077 0.639 0.639
0.923 0.361 0.361
0.668 0.179 0.179
0.639 0.639 0.077
0.821 0.821 0.332
0.332 0.821 0.821
0.179 0.668 0.179
0.821 0.332 0.821
0.387 0.387 0.387
0.613 0.613 0.613
0.500 0.000 0.000
0.000 0.500 0.000
0.000 0.000 0.500
0.000 0.000 0.000

VInOs2 (PBE, optimized geometry); electronic total energy = -34.1 eV per cell; space group = P4/mmm (123); total magnetic moment = 0.000 μB per atom
1.0
-2.917 0.395 0.846
-0.910 -1.819 -2.289
0.447 -5.248 3.992
In Os V
1 2 1
Direct
0.500 0.500 0.500
0.000 0.000 0.218
0.000 0.000 0.782
0.500 0.500 0.000

TbTmSb2 (PBE, optimized geometry); formation energy without anion corrections = -1.00 eV per atom; space group = R3m (160); offset from the most stable computed form = 105 meV per atom; total magnetic moment = 0.000 μB per atom
1.0
-1.625 2.090 3.434
1.105 -1.230 4.009
5.548 4.967 2.340
Sb Tb Tm
2 1 1
Direct
0.253 0.253 0.242
0.080 0.080 0.759
0.498 0.498 0.506
0.669 0.669 0.994

Ca2AlSb (PBE, optimized geometry); formation energy without anion corrections = -0.21 eV per atom; space group = I-42d (122); offset from the most stable computed form = 311 meV per atom; total magnetic moment = 0.000 μB per atom
1.0
-5.862 5.791 -1.710
-4.854 -5.937 -3.467
-6.824 -0.656 0.462
Ca Al Sb
4 2 2
Direct
0.875 0.879 0.750
0.629 0.125 0.250
0.375 0.371 0.750
0.121 0.625 0.250
0.500 0.500 0.000
0.250 0.750 0.500
0.000 0.000 0.000
0.750 0.250 0.500

NdErTm3Sc (PBE, optimized geometry); electronic total energy = -57.7 eV per cell; space group = Cmcm (63); total magnetic moment = 0.000 μB per atom
1.0
-3.807 -2.998 -0.902
6.584 -4.084 -0.744
-0.395 -2.383 9.586
Tm Er Nd Sc
6 2 2 2
Direct
0.668 0.337 0.000
0.332 0.663 0.000
0.170 0.340 0.750
0.332 0.663 0.500
0.830 0.660 0.250
0.668 0.337 0.500
0.000 0.000 0.000
0.000 0.000 0.500
0.502 0.005 0.250
0.498 0.995 0.750
0.169 0.337 0.250
0.831 0.663 0.750

NpTl4I6 (PBE, optimized geometry); formation energy without anion corrections = -0.62 eV per atom; space group = P4/mnc (128); total magnetic moment = 0.436 μB per atom
1.0
9.286 0.000 0.000
0.000 9.286 0.000
0.000 0.000 10.489
I Tl Np
12 8 2
Direct
0.313 0.862 0.500
0.638 0.187 0.000
0.813 0.638 0.000
0.862 0.687 0.500
0.362 0.813 0.000
0.000 0.000 0.798
0.500 0.500 0.702
0.187 0.362 0.000
0.687 0.138 0.500
0.500 0.500 0.298
0.000 0.000 0.202
0.138 0.313 0.500
0.352 0.148 0.750
0.648 0.852 0.750
0.852 0.352 0.750
0.148 0.648 0.750
0.148 0.648 0.250
0.352 0.148 0.250
0.648 0.852 0.250
0.852 0.352 0.250
0.500 0.500 0.000
0.000 0.000 0.500

NaPrAgGe (PBE, optimized geometry); electronic total energy = -14.8 eV per cell; space group = F-43m (216); total magnetic moment = 0.000 μB per atom
1.0
5.133 0.000 0.000
2.566 4.445 0.000
2.566 1.482 4.191
Ge Ag Pr Na
1 1 1 1
Direct
0.250 0.250 0.250
0.750 0.750 0.750
0.500 0.500 0.500
0.000 0.000 0.000